A relaxed ZrGaSb2I crystal, computed with GGA-PBE.

Lattice parameters (Å, degrees): 5.5502 5.5502 5.9816 90.00 90.00 90.00
Last column: nearest neighbours and their distance in Å.
Fractional coordinates of all 5 atoms:
Sb 0.0000 0.5000 0.0000  2 Zr 2.78
Zr 0.0000 0.0000 0.0000  4 Sb 2.78, 2 I 2.99
I 0.0000 0.0000 0.5000  2 Zr 2.99
Sb 0.5000 0.0000 0.0000  2 Zr 2.78
Ga 0.5000 0.5000 0.5000  4 I 3.92, 8 Sb 4.08

Values from the calculation:
Space-group type = P4/mmm (123)
Total moment = 0.000 μB per atom

A relaxed ScGaI2 crystal, computed with GGA-PBE.

Lattice parameters (Å, degrees): 10.5677 10.5677 7.9909 48.61 48.61 90.00
Last column: nearest neighbours and their distance in Å.
Fractional coordinates of all 8 atoms:
Ga 0.0000 0.0000 0.0000  2 Sc 2.83
Ga 0.7500 0.2500 0.5000  2 Sc 2.83
Sc 0.2500 0.7500 0.5000  2 Ga 2.83, 4 I 2.90
I 0.4673 0.1250 0.2500  2 Sc 2.90
Sc 0.5000 0.5000 0.0000  2 Ga 2.83, 4 I 2.90
I 0.3750 0.5327 0.7500  2 Sc 2.90
I 0.2827 0.6250 0.2500  2 Sc 2.90
I 0.8750 0.7173 0.7500  2 Sc 2.90

Values from the calculation:
Space-group type = I-42d (122)
Total moment = 0.000 μB per atom

A relaxed Sc3GaI crystal, computed with GGA-PBE.

Lattice parameters (Å, degrees): 5.1677 5.1677 5.1677 90.00 90.00 90.00
Last column: nearest neighbours and their distance in Å.
Fractional coordinates of all 5 atoms:
Sc 0.5000 0.0000 0.0000  2 Ga 2.58
I 0.5000 0.5000 0.5000  12 Sc 3.65
Sc 0.0000 0.0000 0.5000  2 Ga 2.58
Ga 0.0000 0.0000 0.0000  6 Sc 2.58
Sc 0.0000 0.5000 0.0000  2 Ga 2.58

Values from the calculation:
Space-group type = Pm-3m (221)
Total moment = 0.000 μB per atom

A relaxed ScGaI2 crystal, computed with GGA-PBE.

Lattice parameters (Å, degrees): 5.3996 5.3996 5.3996 60.00 60.00 60.00
Last column: nearest neighbours and their distance in Å.
Fractional coordinates of all 4 atoms:
Sc 0.0000 0.0000 0.0000  8 I 3.31
I 0.2500 0.2500 0.2500  4 Ga 3.31, 4 Sc 3.31
Ga 0.5000 0.5000 0.5000  8 I 3.31
I 0.7500 0.7500 0.7500  4 Sc 3.31, 4 Ga 3.31

Values from the calculation:
Space-group type = Fm-3m (225)
Total moment = 0.429 μB per atom

A relaxed Sc4GaI2 crystal, computed with GGA-PBE.

Lattice parameters (Å, degrees): 5.2296 5.2296 8.0722 71.10 71.10 90.00
Last column: nearest neighbours and their distance in Å.
Fractional coordinates of all 7 atoms:
Sc 0.8165 0.8165 0.3671  1 Ga 2.63, 1 I 2.85
Ga 0.0000 0.0000 0.0000  6 Sc 2.61-2.63
Sc 0.1835 0.1835 0.6329  1 Ga 2.63, 1 I 2.85
I 0.3822 0.3822 0.2357  5 Sc 2.85-3.11
Sc 0.5000 0.0000 0.0000  2 Ga 2.61
I 0.6178 0.6178 0.7643  5 Sc 2.85-3.11
Sc 0.0000 0.5000 0.0000  2 Ga 2.61

Values from the calculation:
Space-group type = I4/mmm (139)
Total moment = 0.000 μB per atom

A relaxed ScGaTeI2 crystal, computed with GGA-PBE.

Lattice parameters (Å, degrees): 5.4994 5.4994 5.5640 90.00 90.00 90.00
Last column: nearest neighbours and their distance in Å.
Fractional coordinates of all 5 atoms:
I 0.0000 0.5000 0.0000  2 Ga 2.75
Te 0.0000 0.0000 0.5000  2 Ga 2.78
Ga 0.0000 0.0000 0.0000  4 I 2.75, 2 Te 2.78
Sc 0.5000 0.5000 0.5000  4 Te 3.89, 8 I 3.91
I 0.5000 0.0000 0.0000  2 Ga 2.75

Values from the calculation:
Space-group type = P4/mmm (123)
Total moment = 0.171 μB per atom

A relaxed ScGaTe2I crystal, computed with GGA-PBE.

Lattice parameters (Å, degrees): 5.4229 5.4229 5.3823 90.00 90.00 90.00
Last column: nearest neighbours and their distance in Å.
Fractional coordinates of all 5 atoms:
Ga 0.0000 0.0000 0.0000  2 I 2.69, 4 Te 2.71
I 0.0000 0.0000 0.5000  2 Ga 2.69
Te 0.5000 0.0000 0.0000  2 Ga 2.71
Sc 0.5000 0.5000 0.5000  8 Te 3.82, 4 I 3.83
Te 0.0000 0.5000 0.0000  2 Ga 2.71

Values from the calculation:
Space-group type = P4/mmm (123)
Total moment = 0.042 μB per atom

A relaxed ScGaTeI2 crystal, computed with GGA-PBE.

Lattice parameters (Å, degrees): 5.7941 5.7941 5.6151 90.00 90.00 90.00
Last column: nearest neighbours and their distance in Å.
Fractional coordinates of all 5 atoms:
Ga 0.5000 0.5000 0.5000  8 I 4.03, 4 Te 4.10
I 0.5000 0.0000 0.0000  2 Sc 2.90
I 0.0000 0.5000 0.0000  2 Sc 2.90
Sc 0.0000 0.0000 0.0000  2 Te 2.81, 4 I 2.90
Te 0.0000 0.0000 0.5000  2 Sc 2.81

Values from the calculation:
Space-group type = P4/mmm (123)
Total moment = 0.000 μB per atom

no.,calculated total energy (eV for the cell shown)
1,-20.891
2,-28.689
3,-23.521
4,-13.547
5,-32.179
6,-15.405
7,-16.888
8,-18.614